FeCoOs2: relaxed, GGA-PBEsol.

Its density of states at the Fermi level is 4.45 states/eV/f.u. For the formation enthalpy at 0 K, the calculation gives 79 kJ/mol of formula units. As for the crystal system: trigonal.

Cell and atoms, written as CIF:
```
data_FeCoOs2
_cell_length_a 2.6476
_cell_length_b 2.6476
_cell_length_c 24.9174
_cell_angle_alpha 90.00
_cell_angle_beta 90.00
_cell_angle_gamma 120.00
_space_group_name_H-M_alt 'R 3 m'
_space_group_IT_number 160
_space_group_name_Hall 'R 3 -2"'
loop_
_atom_site_label
_atom_site_type_symbol
_atom_site_fract_x
_atom_site_fract_y
_atom_site_fract_z
_atom_site_occupancy
Fe1 Fe 0.0000 0.0000 0.0000 1
Co1 Co 0.0000 0.0000 0.2564 1
Os1 Os 0.0000 0.0000 0.5062 1
Os2 Os 0.0000 0.0000 0.7510 1
```

***

Zr3TaNi: relaxed, GGA-PBEsol.

Its density of states at the Fermi level is 7.88 states/eV/f.u. For the formation enthalpy at 0 K, the calculation gives 258 kJ/mol of formula units. As for the crystal system: cubic.

Cell and atoms, written as CIF:
```
data_Zr3TaNi
_cell_length_a 4.739
_cell_length_b 4.739
_cell_length_c 4.739
_cell_angle_alpha 90.00
_cell_angle_beta 90.00
_cell_angle_gamma 90.00
_space_group_name_H-M_alt 'P m -3 m'
_space_group_IT_number 221
_space_group_name_Hall '-P 4 2 3'
loop_
_atom_site_label
_atom_site_type_symbol
_atom_site_fract_x
_atom_site_fract_y
_atom_site_fract_z
_atom_site_occupancy
Zr1 Zr 0.000 0.000 0.500 1
Ta1 Ta 0.500 0.500 0.500 1
Ni1 Ni 0.000 0.000 0.000 1
```

***

SrCdAsSe2: relaxed, GGA-PBEsol.

Its density of states at the Fermi level is 4.64 states/eV/f.u. As for the crystal system: tetragonal. The value obtained for the uncorrected formation energy is -286.8 meV/atom.

Cell and atoms, written as CIF:
```
data_SrCdAsSe2
_cell_length_a 5.280
_cell_length_b 5.280
_cell_length_c 4.978
_cell_angle_alpha 90.00
_cell_angle_beta 90.00
_cell_angle_gamma 90.00
_space_group_name_H-M_alt 'P 4/m m m'
_space_group_IT_number 123
_space_group_name_Hall '-P 4 2'
loop_
_atom_site_label
_atom_site_type_symbol
_atom_site_fract_x
_atom_site_fract_y
_atom_site_fract_z
_atom_site_occupancy
Sr1 Sr 0.000 0.000 0.000 1
Cd1 Cd 0.500 0.500 0.500 1
As1 As 0.500 0.500 0.000 1
Se1 Se 0.000 0.500 0.500 1
```

***

Zn2FeRh: relaxed, GGA-PBEsol.

Its density of states at the Fermi level is 2.64 states/eV/f.u. For the formation enthalpy at 0 K, the calculation gives -38 kJ/mol of formula units. As for the crystal system: orthorhombic.

Cell and atoms, written as CIF:
```
data_Zn2FeRh
_cell_length_a 2.878
_cell_length_b 4.218
_cell_length_c 8.414
_cell_angle_alpha 90.00
_cell_angle_beta 90.00
_cell_angle_gamma 90.00
_space_group_name_H-M_alt 'I m m 2'
_space_group_IT_number 44
loop_
_space_group_symop_operation_xyz
'x,y,z'
'-x,-y,z'
'-x,y,z'
'x,-y,z'
'x+1/2,y+1/2,z+1/2'
'-x+1/2,-y+1/2,z+1/2'
'-x+1/2,y+1/2,z+1/2'
'x+1/2,-y+1/2,z+1/2'
loop_
_atom_site_label
_atom_site_type_symbol
_atom_site_fract_x
_atom_site_fract_y
_atom_site_fract_z
_atom_site_occupancy
Zn1 Zn 0.000 0.000 0.000 1
Zn2 Zn 0.000 0.500 0.251 1
Fe1 Fe 0.000 0.500 0.746 1
Rh1 Rh 0.000 0.000 0.497 1
```

***

TaTc2Ir: relaxed, GGA-PBEsol.

Its density of states at the Fermi level is 3.74 states/eV/f.u. For the formation enthalpy at 0 K, the calculation gives -29 kJ/mol of formula units. As for the crystal system: monoclinic.

Cell and atoms, written as CIF:
```
data_TaTc2Ir
_cell_length_a 2.703
_cell_length_b 4.080
_cell_length_c 5.484
_cell_angle_alpha 90.00
_cell_angle_beta 98.62
_cell_angle_gamma 90.00
_space_group_name_H-M_alt 'P 1 2/m 1'
_space_group_IT_number 10
loop_
_space_group_symop_operation_xyz
'x,y,z'
'-x,-y,-z'
'-x,y,-z'
'x,-y,z'
loop_
_atom_site_label
_atom_site_type_symbol
_atom_site_fract_x
_atom_site_fract_y
_atom_site_fract_z
_atom_site_occupancy
Ta1 Ta 0.000 0.000 0.000 1
Tc1 Tc 0.424 0.500 0.263 1
Ir1 Ir 0.000 0.000 0.500 1
```

***

CuTcP: relaxed, GGA-PBEsol.

Its density of states at the Fermi level is 2.30 states/eV/f.u. For the formation enthalpy at 0 K, the calculation gives 79 kJ/mol of formula units. As for the crystal system: orthorhombic.

Cell and atoms, written as CIF:
```
data_CuTcP
_cell_length_a 3.045
_cell_length_b 4.631
_cell_length_c 11.424
_cell_angle_alpha 90.00
_cell_angle_beta 90.00
_cell_angle_gamma 90.00
_space_group_name_H-M_alt 'F m m 2'
_space_group_IT_number 42
_space_group_name_Hall 'F 2 -2'
loop_
_atom_site_label
_atom_site_type_symbol
_atom_site_fract_x
_atom_site_fract_y
_atom_site_fract_z
_atom_site_occupancy
Cu1 Cu 0.000 0.000 0.000 1
Tc1 Tc 0.000 0.000 0.311 1
P1 P 0.000 0.000 0.664 1
```

***

Re2Se: relaxed, GGA-PBEsol.

Its density of states at the Fermi level is 1.75 states/eV/f.u. As for the crystal system: trigonal. The value obtained for the uncorrected formation energy is 283.5 meV/atom.

Cell and atoms, written as CIF:
```
data_Re2Se
_cell_length_a 2.8792
_cell_length_b 2.8792
_cell_length_c 6.2611
_cell_angle_alpha 90.00
_cell_angle_beta 90.00
_cell_angle_gamma 120.00
_space_group_name_H-M_alt 'P -3 m 1'
_space_group_IT_number 164
_space_group_name_Hall '-P 3 2"'
loop_
_atom_site_label
_atom_site_type_symbol
_atom_site_fract_x
_atom_site_fract_y
_atom_site_fract_z
_atom_site_occupancy
Re1 Re 0.3333 0.6667 0.1639 1
Se1 Se 0.0000 0.0000 0.5000 1
```

***

BaInCuF7: relaxed, GGA-PBEsol.

As for the crystal system: monoclinic. The value obtained for the uncorrected formation energy is -2637.0 meV/atom.

Cell and atoms, written as CIF:
```
data_BaInCuF7
_cell_length_a 9.539
_cell_length_b 9.535
_cell_length_c 7.754
_cell_angle_alpha 90.00
_cell_angle_beta 126.45
_cell_angle_gamma 90.00
_space_group_name_H-M_alt 'C 1 2/c 1'
_space_group_IT_number 15
loop_
_space_group_symop_operation_xyz
'x,y,z'
'-x,-y,-z'
'-x,y,-z+1/2'
'x,-y,z+1/2'
'x+1/2,y+1/2,z'
'-x+1/2,-y+1/2,-z'
'-x+1/2,y+1/2,-z+1/2'
'x+1/2,-y+1/2,z+1/2'
loop_
_atom_site_label
_atom_site_type_symbol
_atom_site_fract_x
_atom_site_fract_y
_atom_site_fract_z
_atom_site_occupancy
Ba1 Ba 0.000 0.112 0.250 1
In1 In 0.000 0.500 0.000 1
Cu1 Cu 0.250 0.250 0.000 1
F1 F 0.000 0.401 0.750 1
F2 F 0.116 0.113 0.011 1
F3 F 0.144 0.346 0.496 1
F4 F 0.227 0.376 0.181 1
```

***

Zr2SbAs: relaxed, GGA-PBEsol.

Its density of states at the Fermi level is 2.95 states/eV/f.u. As for the crystal system: tetragonal. The value obtained for the uncorrected formation energy is -753.4 meV/atom.

Cell and atoms, written as CIF:
```
data_Zr2SbAs
_cell_length_a 3.329
_cell_length_b 3.329
_cell_length_c 7.243
_cell_angle_alpha 90.00
_cell_angle_beta 90.00
_cell_angle_gamma 90.00
_space_group_name_H-M_alt 'P 4/m m m'
_space_group_IT_number 123
_space_group_name_Hall '-P 4 2'
loop_
_atom_site_label
_atom_site_type_symbol
_atom_site_fract_x
_atom_site_fract_y
_atom_site_fract_z
_atom_site_occupancy
Zr1 Zr 0.000 0.000 0.222 1
Sb1 Sb 0.500 0.500 0.500 1
As1 As 0.500 0.500 0.000 1
```

***

CaPr3Fe4O12: relaxed, GGA-PBEsol.

Its density of states at the Fermi level is 7.94 states/eV/f.u. As for the crystal system: monoclinic. The value obtained for the uncorrected formation energy is -2320.2 meV/atom.

Cell and atoms, written as CIF:
```
data_CaPr3Fe4O12
_cell_length_a 5.348
_cell_length_b 7.566
_cell_length_c 5.371
_cell_angle_alpha 90.00
_cell_angle_beta 90.00
_cell_angle_gamma 90.00
_space_group_name_H-M_alt 'P 1 m 1'
_space_group_IT_number 6
loop_
_space_group_symop_operation_xyz
'x,y,z'
'x,-y,z'
loop_
_atom_site_label
_atom_site_type_symbol
_atom_site_fract_x
_atom_site_fract_y
_atom_site_fract_z
_atom_site_occupancy
Ca1 Ca 0.000 0.000 0.000 1
Pr1 Pr 0.444 0.500 0.505 1
Pr2 Pr 0.497 0.000 0.514 1
Pr3 Pr 0.945 0.500 0.014 1
Fe1 Fe 0.471 0.246 0.008 1
Fe2 Fe 0.971 0.245 0.509 1
O1 O 0.199 0.286 0.238 1
O2 O 0.247 0.223 0.732 1
O3 O 0.457 0.000 0.066 1
O4 O 0.480 0.500 0.950 1
O5 O 0.696 0.281 0.284 1
O6 O 0.746 0.215 0.782 1
O7 O 0.970 0.000 0.443 1
O8 O 0.970 0.500 0.568 1
```

***

Cs3LaO3: relaxed, GGA-PBEsol.

Its density of states at the Fermi level is 0.00 states/eV/f.u. As for the crystal system: monoclinic. The value obtained for the uncorrected formation energy is -1896.3 meV/atom.

Cell and atoms, written as CIF:
```
data_Cs3LaO3
_cell_length_a 8.082
_cell_length_b 7.602
_cell_length_c 12.584
_cell_angle_alpha 90.00
_cell_angle_beta 93.20
_cell_angle_gamma 90.00
_space_group_name_H-M_alt 'P 1 21/c 1'
_space_group_IT_number 14
loop_
_space_group_symop_operation_xyz
'x,y,z'
'-x,-y,-z'
'-x,y+1/2,-z+1/2'
'x,-y+1/2,z+1/2'
loop_
_atom_site_label
_atom_site_type_symbol
_atom_site_fract_x
_atom_site_fract_y
_atom_site_fract_z
_atom_site_occupancy
Cs1 Cs 0.072 0.141 0.173 1
Cs2 Cs 0.346 0.147 0.925 1
Cs3 Cs 0.391 0.676 0.809 1
La1 La 0.160 0.606 0.076 1
O1 O 0.124 0.045 0.414 1
O2 O 0.264 0.624 0.576 1
O3 O 0.287 0.036 0.709 1
```

***

KCu3Ag: relaxed, GGA-PBEsol.

Its density of states at the Fermi level is 1.88 states/eV/f.u. For the formation enthalpy at 0 K, the calculation gives 889 kJ/mol of formula units. As for the crystal system: cubic.

Cell and atoms, written as CIF:
```
data_KCu3Ag
_cell_length_a 4.739
_cell_length_b 4.739
_cell_length_c 4.739
_cell_angle_alpha 90.00
_cell_angle_beta 90.00
_cell_angle_gamma 90.00
_space_group_name_H-M_alt 'P m -3 m'
_space_group_IT_number 221
_space_group_name_Hall '-P 4 2 3'
loop_
_atom_site_label
_atom_site_type_symbol
_atom_site_fract_x
_atom_site_fract_y
_atom_site_fract_z
_atom_site_occupancy
K1 K 0.000 0.000 0.000 1
Cu1 Cu 0.000 0.000 0.500 1
Ag1 Ag 0.500 0.500 0.500 1
```

***

The calculation returns the following calculated total energy values, one per record and in order: -10.08, -8.66, -3.46, -5.16, -11.30, -6.86, -9.89, -4.93, -7.71, -8.15, -5.31, -1.65 eV per atom.